Entry 1:
A plane-wave DFT calculation with PBE-GGA was carried out for a relaxed structure of BaCaReTe2.

SG: P4/mmm, No. 123
Formation energy without anion corrections, eV/atom: 0.22

The structure in CIF format:
```
data_BaCaReTe2
_space_group_name_H-M_alt 'P 1'
_space_group_IT_number 1
_space_group_name_Hall 'P 1'
_cell_length_a 5.545
_cell_length_b 5.374
_cell_length_c 5.545
_cell_angle_alpha 90.00
_cell_angle_beta 90.00
_cell_angle_gamma 90.00
loop_
_atom_site_label
_atom_site_fract_x
_atom_site_fract_y
_atom_site_fract_z
_atom_site_occupancy
Re1 0.000 0.000 0.000 1
Ca1 0.500 0.500 0.500 1
Te1 0.000 0.000 0.500 1
Te2 0.500 0.000 0.000 1
Ba1 0.000 0.500 0.000 1
```

=====

Entry 2:
A plane-wave DFT calculation with PBE-GGA was carried out for a relaxed structure of TeAs3Pb.

SG: Pm-3m, No. 221
Formation energy without anion corrections, eV/atom: 0.76
Offset from the most stable computed form, eV per atom: 0.000

The structure in CIF format:
```
data_TeAs3Pb
_space_group_name_H-M_alt 'P 1'
_space_group_IT_number 1
_space_group_name_Hall 'P 1'
_cell_length_a 5.333
_cell_length_b 5.333
_cell_length_c 5.333
_cell_angle_alpha 90.00
_cell_angle_beta 90.00
_cell_angle_gamma 90.00
loop_
_atom_site_label
_atom_site_fract_x
_atom_site_fract_y
_atom_site_fract_z
_atom_site_occupancy
Pb1 0.500 0.500 0.500 1
As1 0.000 0.500 0.000 1
As2 0.000 0.000 0.500 1
As3 0.500 0.000 0.000 1
Te1 0.000 0.000 0.000 1
```

=====

Entry 3:
A plane-wave DFT calculation with PBE-GGA was carried out for a relaxed structure of PaCo4Si2.

SG: Cmmm, No. 65
Formation energy without anion corrections, eV/atom: -0.45
Offset from the most stable computed form, eV per atom: 0.000

The structure in CIF format:
```
data_PaCo4Si2
_space_group_name_H-M_alt 'P 1'
_space_group_IT_number 1
_space_group_name_Hall 'P 1'
_cell_length_a 3.940
_cell_length_b 3.950
_cell_length_c 6.509
_cell_angle_alpha 107.66
_cell_angle_beta 90.00
_cell_angle_gamma 90.00
loop_
_atom_site_label
_atom_site_fract_x
_atom_site_fract_y
_atom_site_fract_z
_atom_site_occupancy
Pa1 0.000 0.000 0.000 1
Co1 0.500 0.812 0.624 1
Co2 0.000 0.691 0.381 1
Co3 0.500 0.188 0.376 1
Co4 0.000 0.309 0.619 1
Si1 0.500 0.596 0.192 1
Si2 0.500 0.404 0.808 1
```

=====

Entry 4:
A plane-wave DFT calculation with PBE-GGA was carried out for a relaxed structure of TaHg2POs.

Formation enthalpy at 0 K, eV per atom: 1.775
SG: P4/mmm, No. 123

The structure in CIF format:
```
data_TaHg2POs
_space_group_name_H-M_alt 'P 1'
_space_group_IT_number 1
_space_group_name_Hall 'P 1'
_cell_length_a 5.366
_cell_length_b 4.740
_cell_length_c 5.366
_cell_angle_alpha 90.00
_cell_angle_beta 90.00
_cell_angle_gamma 90.00
loop_
_atom_site_label
_atom_site_fract_x
_atom_site_fract_y
_atom_site_fract_z
_atom_site_occupancy
P1 0.500 0.500 0.500 1
Os1 0.000 0.500 0.000 1
Hg1 0.000 0.000 0.500 1
Hg2 0.500 0.000 0.000 1
Ta1 0.000 0.000 0.000 1
```

=====

Entry 5:
A plane-wave DFT calculation with PBE-GGA was carried out for a relaxed structure of LiAl2Cu2O6.

SG: P3m1, No. 156
Formation energy without anion corrections, eV/atom: -1.67
Offset from the most stable computed form, eV per atom: 0.011

The structure in CIF format:
```
data_LiAl2Cu2O6
_space_group_name_H-M_alt 'P 1'
_space_group_IT_number 1
_space_group_name_Hall 'P 1'
_cell_length_a 2.935
_cell_length_b 2.935
_cell_length_c 15.190
_cell_angle_alpha 90.00
_cell_angle_beta 90.00
_cell_angle_gamma 120.00
loop_
_atom_site_label
_atom_site_fract_x
_atom_site_fract_y
_atom_site_fract_z
_atom_site_occupancy
Li1 0.000 0.000 0.627 1
Al1 0.000 0.000 0.470 1
Al2 0.000 0.000 0.008 1
Cu1 0.667 0.333 0.813 1
Cu2 0.333 0.667 0.204 1
O1 0.333 0.667 0.421 1
O2 0.667 0.333 0.944 1
O3 0.667 0.333 0.552 1
O4 0.333 0.667 0.071 1
O5 0.000 0.000 0.251 1
O6 0.000 0.000 0.754 1
```

=====

Entry 6:
A plane-wave DFT calculation with PBE-GGA was carried out for a relaxed structure of CuAgRh.

Formation enthalpy at 0 K, eV per atom: 0.205
SG: Fmm2, No. 42
Offset from the most stable computed form, eV per atom: 0.132

The structure in CIF format:
```
data_CuAgRh
_space_group_name_H-M_alt 'P 1'
_space_group_IT_number 1
_space_group_name_Hall 'P 1'
_cell_length_a 7.190
_cell_length_b 6.962
_cell_length_c 2.708
_cell_angle_alpha 83.75
_cell_angle_beta 74.26
_cell_angle_gamma 21.99
loop_
_atom_site_label
_atom_site_fract_x
_atom_site_fract_y
_atom_site_fract_z
_atom_site_occupancy
Ag1 0.004 0.004 0.996 1
Cu1 0.670 0.670 0.330 1
Rh1 0.325 0.325 0.675 1
```

=====

Entry 7:
A plane-wave DFT calculation with PBE-GGA was carried out for a relaxed structure of PuHg2O6.

SG: P-1, No. 2
Formation energy without anion corrections, eV/atom: -1.14

The structure in CIF format:
```
data_PuHg2O6
_space_group_name_H-M_alt 'P 1'
_space_group_IT_number 1
_space_group_name_Hall 'P 1'
_cell_length_a 7.030
_cell_length_b 7.126
_cell_length_c 7.016
_cell_angle_alpha 79.00
_cell_angle_beta 84.69
_cell_angle_gamma 94.39
loop_
_atom_site_label
_atom_site_fract_x
_atom_site_fract_y
_atom_site_fract_z
_atom_site_occupancy
Pu1 0.275 0.876 0.024 1
Pu2 0.725 0.124 0.976 1
Hg1 0.100 0.306 0.360 1
Hg2 0.400 0.675 0.623 1
Hg3 0.900 0.694 0.640 1
Hg4 0.600 0.325 0.377 1
O1 0.331 0.368 0.495 1
O2 0.149 0.761 0.750 1
O3 0.669 0.632 0.505 1
O4 0.851 0.239 0.250 1
O5 0.881 0.219 0.744 1
O6 0.623 0.354 0.946 1
O7 0.119 0.781 0.256 1
O8 0.377 0.646 0.054 1
O9 0.172 0.104 0.993 1
O10 0.481 0.989 0.823 1
O11 0.828 0.896 0.007 1
O12 0.519 0.011 0.177 1
```

=====

Entry 8:
A plane-wave DFT calculation with PBE-GGA was carried out for a relaxed structure of Tl3Te.

SG: Pmmn, No. 59
Formation energy without anion corrections, eV/atom: -0.18
Offset from the most stable computed form, eV per atom: 0.025

The structure in CIF format:
```
data_Tl3Te
_space_group_name_H-M_alt 'P 1'
_space_group_IT_number 1
_space_group_name_Hall 'P 1'
_cell_length_a 6.423
_cell_length_b 6.998
_cell_length_c 17.438
_cell_angle_alpha 90.00
_cell_angle_beta 90.00
_cell_angle_gamma 90.00
loop_
_atom_site_label
_atom_site_fract_x
_atom_site_fract_y
_atom_site_fract_z
_atom_site_occupancy
Te1 0.058 0.250 0.750 1
Te2 0.668 0.250 0.417 1
Te3 0.668 0.250 0.083 1
Te4 0.942 0.750 0.250 1
Te5 0.332 0.750 0.917 1
Te6 0.332 0.750 0.583 1
Tl1 0.168 0.997 0.418 1
Tl2 0.168 0.997 0.082 1
Tl3 0.525 0.003 0.750 1
Tl4 0.475 0.997 0.250 1
Tl5 0.832 0.003 0.918 1
Tl6 0.832 0.003 0.582 1
Tl7 0.957 0.250 0.250 1
Tl8 0.337 0.250 0.916 1
Tl9 0.337 0.250 0.584 1
Tl10 0.168 0.503 0.418 1
Tl11 0.168 0.503 0.082 1
Tl12 0.525 0.497 0.750 1
Tl13 0.475 0.503 0.250 1
Tl14 0.832 0.497 0.918 1
Tl15 0.832 0.497 0.582 1
Tl16 0.043 0.750 0.750 1
Tl17 0.663 0.750 0.416 1
Tl18 0.663 0.750 0.084 1
```